(1)
! MnIrN | Alexandria | PBE | relaxed; values from VASP
&SYSTEM
  ibrav = 0, nat = 6, ntyp = 3
/
ATOMIC_SPECIES
N 14.01 N.upf
Mn 54.94 Mn.upf
Ir 192.22 Ir.upf
ATOMIC_POSITIONS angstrom
N 1.876 0.000 4.621
Mn 0.000 0.000 0.000
Mn 1.876 1.876 0.000
Ir 1.876 0.000 6.329
Ir 0.000 1.876 1.572
N 0.000 1.876 3.280
CELL_PARAMETERS angstrom
3.752 0.000 0.000
0.000 3.752 0.000
0.000 0.000 7.901
! * formation energy from raw total energies: 1.20 eV/atom
! * electronic total energy: -45.54 eV/cell

***

(2)
! BaHgSbTe3 | Alexandria | PBE | relaxed; values from VASP
&SYSTEM
  ibrav = 0, nat = 12, ntyp = 4
/
ATOMIC_SPECIES
Hg 200.59 Hg.upf
Sb 121.76 Sb.upf
Te 127.60 Te.upf
Ba 137.33 Ba.upf
ATOMIC_POSITIONS angstrom
Hg -8.498 -0.001 -2.019
Sb -5.825 6.982 -3.177
Te -6.932 5.843 -0.227
Ba -8.994 3.692 -2.205
Te -4.255 3.858 -3.277
Ba -2.488 1.617 -0.880
Hg -2.983 5.310 -1.066
Te -3.739 8.202 -1.129
Te -7.227 1.450 0.192
Te -7.743 -2.893 -1.955
Te -4.550 -0.534 -2.858
Sb -5.657 -1.673 0.092
CELL_PARAMETERS angstrom
-1.104 -0.397 -4.944
-7.285 -3.995 1.948
-3.093 9.701 -0.088
! * formation energy from raw total energies: -0.54 eV/atom
! * electronic total energy: -37.97 eV/cell